Record 1
The following is a GGA-PBE calculation of a geometry-optimized ZrSc2Pt structure, from the Alexandria database.

Cell: 4.8221 4.8221 4.8221 Å, 60.00 60.00 60.00°
Site moments in Bohr magnetons follow the coordinates.
Fractional coordinates of all 4 atoms:
1 Sc 0.0000 0.0000 0.0000  0.48
2 Sc 0.2500 0.2500 0.2500  0.27
3 Zr 0.7500 0.7500 0.7500  0.30
4 Pt 0.5000 0.5000 0.5000  0.03

Properties
DFT formation energy ... -419 meV per atom
Excess energy over the best structure of this formula in the dataset ... 0.89 eV/f.u.

Record 2
The following is a GGA-PBE calculation of a geometry-optimized ZrSc4Pt structure, from the Alexandria database.

Cell: 5.6698 5.6698 5.6698 Å, 60.00 60.00 60.00°
Fractional coordinates of all 6 atoms:
1 Sc 0.3755 0.8734 0.3755
2 Sc 0.3755 0.3755 0.8734
3 Sc 0.3755 0.3755 0.3755
4 Sc 0.8734 0.3755 0.3755
5 Zr 0.7500 0.7500 0.7500
6 Pt 0.0000 0.0000 0.0000

Properties
DFT formation energy ... 159 meV per atom

Record 3
The following is a GGA-PBE calculation of a geometry-optimized ZrSc2Pt structure, from the Alexandria database.

Cell: 4.3879 3.3600 6.0515 Å, 70.57 90.00 90.00°
Fractional coordinates of all 4 atoms:
1 Pt 0.5000 0.7584 0.7476
2 Sc 0.5000 0.2460 0.2501
3 Sc 0.0000 0.9278 0.9790
4 Zr 0.0000 0.5679 0.5233

Properties
DFT formation energy ... -465 meV per atom
Excess energy over the best structure of this formula in the dataset ... 0.70 eV/f.u.

Record 4
The following is a GGA-PBE calculation of a geometry-optimized ZrScPt4 structure, from the Alexandria database.

Cell: 5.3198 5.3198 5.3198 Å, 60.00 60.00 60.00°
Fractional coordinates of all 6 atoms:
1 Pt 0.3752 0.8745 0.3752
2 Pt 0.3752 0.3752 0.8745
3 Pt 0.3752 0.3752 0.3752
4 Pt 0.8745 0.3752 0.3752
5 Sc 0.7500 0.7500 0.7500
6 Zr 0.0000 0.0000 0.0000

Properties
DFT formation energy ... -882 meV per atom

Record 5
The following is a GGA-PBE calculation of a geometry-optimized ZrSc2Pt2 structure, from the Alexandria database.

Cell: 4.5695 4.5695 5.7942 Å, 90.00 90.00 120.00°
Fractional coordinates of all 5 atoms:
1 Sc 0.3333 0.6667 0.6546
2 Sc 0.6667 0.3333 0.3454
3 Pt 0.6667 0.3333 0.8228
4 Pt 0.3333 0.6667 0.1772
5 Zr 0.0000 0.0000 0.0000

Properties
DFT formation energy ... -947 meV per atom
Excess energy over the best structure of this formula in the dataset ... 0.04 eV/f.u.

Record 6
The following is a GGA-PBE calculation of a geometry-optimized ZrSc2Pt structure, from the Alexandria database.

Cell: 7.8270 7.8270 6.2572 Å, 51.29 51.29 90.00°
Fractional coordinates of all 8 atoms:
1 Sc 0.3750 0.3226 0.7500
2 Sc 0.8750 0.9274 0.7500
3 Sc 0.0726 0.6250 0.2500
4 Sc 0.6774 0.1250 0.2500
5 Pt 0.7500 0.2500 0.5000
6 Pt 0.0000 0.0000 0.0000
7 Zr 0.2500 0.7500 0.5000
8 Zr 0.5000 0.5000 0.0000

Properties
DFT formation energy ... -366 meV per atom
Excess energy over the best structure of this formula in the dataset ... 1.10 eV/f.u.

Q: Which value of DFT formation energy does entry 5 give?
A: -947 meV per atom

Repeat the third record exactly.
The following is a GGA-PBE calculation of a geometry-optimized ZrSc2Pt structure, from the Alexandria database.

Cell: 4.3879 3.3600 6.0515 Å, 70.57 90.00 90.00°
Fractional coordinates of all 4 atoms:
1 Pt 0.5000 0.7584 0.7476
2 Sc 0.5000 0.2460 0.2501
3 Sc 0.0000 0.9278 0.9790
4 Zr 0.0000 0.5679 0.5233

Properties
DFT formation energy ... -465 meV per atom
Excess energy over the best structure of this formula in the dataset ... 0.70 eV/f.u.

Q: The highest DFT formation energy belongs to which entry?
A: ZrSc4Pt